## SrVSnO5 (PBE+U)

Data for a relaxed structure of SrVSnO5.

The structure in POSCAR format:
```
SrVSnO5
1.0
3.472 -4.803 0.000
3.472 4.803 0.000
-2.804 0.000 6.913
Sr V Sn O
2 2 2 10
Direct
0.168 0.832 0.750
0.832 0.168 0.250
0.181 0.819 0.250
0.819 0.181 0.750
0.500 0.500 0.000
0.500 0.500 0.500
0.118 0.241 0.921
0.196 0.602 0.390
0.241 0.118 0.421
0.398 0.804 0.110
0.422 0.578 0.750
0.578 0.422 0.250
0.602 0.196 0.890
0.759 0.882 0.579
0.804 0.398 0.610
0.882 0.759 0.079
```

Computed properties:
Its energy is -110.3 eV for the cell shown. The calculation puts the total moment at 2.00 μB/cell. Its symmetry is C2/c, No. 15.